Entry 1:
! PBE LiP3Rh, relaxed; values from VASP
&SYSTEM
  ibrav = 0, nat = 5, ntyp = 3
/
ATOMIC_SPECIES
Rh 102.91 Rh.upf
P 30.97 P.upf
Li 6.94 Li.upf
CELL_PARAMETERS angstrom
4.6548 0.0000 0.0000
0.0000 4.6548 0.0000
0.0000 0.0000 4.6548
ATOMIC_POSITIONS crystal
Rh 0.0000 0.0000 0.0000
P 0.0000 0.0000 0.5000
P 0.0000 0.5000 0.0000
P 0.5000 0.0000 0.0000
Li 0.5000 0.5000 0.5000
! excess energy over the best structure of this formula in the dataset	0	meV per atom
! space group	Pm-3m (221)
! electronic total energy	-4.67	eV per atom
! volume	20.2	Å³/atom



Entry 2:
! PBE LiPRh2, relaxed; values from VASP
&SYSTEM
  ibrav = 0, nat = 4, ntyp = 3
/
ATOMIC_SPECIES
P 30.97 P.upf
Rh 102.91 Rh.upf
Li 6.94 Li.upf
CELL_PARAMETERS angstrom
4.2148 0.0000 0.0000
2.1074 3.6501 0.0000
2.1074 1.2167 3.4414
ATOMIC_POSITIONS crystal
P 0.2500 0.2500 0.2500
Rh 0.7500 0.7500 0.7500
Rh 0.0000 0.0000 0.0000
Li 0.5000 0.5000 0.5000
! space group	F-43m (216)
! electronic total energy	-5.66	eV per atom
! volume	13.2	Å³/atom



Entry 3:
! PBE LiPRh2, relaxed; values from VASP
&SYSTEM
  ibrav = 0, nat = 4, ntyp = 3
/
ATOMIC_SPECIES
Rh 102.91 Rh.upf
P 30.97 P.upf
Li 6.94 Li.upf
CELL_PARAMETERS angstrom
-5.0575 3.5842 5.6025
-6.9682 2.8187 3.6486
-6.1183 0.9519 5.6100
ATOMIC_POSITIONS crystal
Rh 0.0098 0.0098 0.0098
Rh 0.2495 0.2495 0.2495
P 0.7435 0.7435 0.7435
Li 0.4971 0.4971 0.4971
! space group	R3m (160)
! electronic total energy	-5.68	eV per atom
! volume	14.3	Å³/atom



Entry 4:
! PBE LiPRh2, relaxed; values from VASP
&SYSTEM
  ibrav = 0, nat = 4, ntyp = 3
/
ATOMIC_SPECIES
Li 6.94 Li.upf
P 30.97 P.upf
Rh 102.91 Rh.upf
CELL_PARAMETERS angstrom
3.4577 0.0000 0.0000
0.0000 2.9121 0.0241
0.0000 1.5897 5.4072
ATOMIC_POSITIONS crystal
Li 0.5000 0.2500 0.2500
P 0.5000 0.7500 0.7500
Rh 0.0000 0.8855 0.9814
Rh 0.0000 0.6145 0.5186
! space group	P2/m (10)
! electronic total energy	-5.90	eV per atom
! volume	13.6	Å³/atom



Entry 5:
! PBE LiPRh2, relaxed; values from VASP
&SYSTEM
  ibrav = 0, nat = 4, ntyp = 3
/
ATOMIC_SPECIES
P 30.97 P.upf
Rh 102.91 Rh.upf
Li 6.94 Li.upf
CELL_PARAMETERS angstrom
4.7594 -0.0018 -0.0032
-1.4973 4.5178 -0.0032
0.7788 1.0781 2.4408
ATOMIC_POSITIONS crystal
P 0.0000 0.5000 0.5000
Rh 0.0000 0.0000 0.0000
Rh 0.5000 0.5000 0.0000
Li 0.5000 0.0000 0.5000
! space group	C2/m (12)
! electronic total energy	-5.83	eV per atom
! volume	13.1	Å³/atom



Entry 6:
! PBE Li2PRh2, relaxed; values from VASP
&SYSTEM
  ibrav = 0, nat = 10, ntyp = 3
/
ATOMIC_SPECIES
Rh 102.91 Rh.upf
Li 6.94 Li.upf
P 30.97 P.upf
CELL_PARAMETERS angstrom
5.9026 0.0000 0.0000
0.0000 5.9026 0.0000
0.0000 0.0000 4.2758
ATOMIC_POSITIONS crystal
Rh 0.3434 0.8434 0.0000
Rh 0.6566 0.1566 0.0000
Rh 0.8434 0.6566 0.0000
Rh 0.1566 0.3434 0.0000
Li 0.6608 0.8392 0.5000
Li 0.1608 0.6608 0.5000
Li 0.8392 0.3392 0.5000
Li 0.3392 0.1608 0.5000
P 0.5000 0.5000 0.0000
P 0.0000 0.0000 0.0000
! space group	P4/mbm (127)
! electronic total energy	-5.39	eV per atom
! volume	14.9	Å³/atom



Entry 7:
! PBE LiP2Rh3, relaxed; values from VASP
&SYSTEM
  ibrav = 0, nat = 18, ntyp = 3
/
ATOMIC_SPECIES
Rh 102.91 Rh.upf
P 30.97 P.upf
Li 6.94 Li.upf
CELL_PARAMETERS angstrom
3.8632 0.0000 0.0000
-1.9316 7.2903 -2.3360
0.0000 0.1142 9.4150
ATOMIC_POSITIONS crystal
Rh 0.3178 0.6356 0.0449
Rh 0.5000 0.0000 0.5000
Rh 0.7855 0.5710 0.6065
Rh 0.6175 0.2351 0.1986
Rh 0.0228 0.0456 0.3083
Rh 0.9772 0.9544 0.6917
Rh 0.3825 0.7649 0.8014
Rh 0.6822 0.3644 0.9551
Rh 0.2145 0.4290 0.3935
P 0.5457 0.0915 0.7851
P 0.8144 0.6288 0.8762
P 0.1856 0.3712 0.1238
P 0.6392 0.2785 0.4526
P 0.4543 0.9085 0.2149
P 0.3608 0.7215 0.5474
Li 0.8400 0.6800 0.3039
Li 0.1600 0.3200 0.6961
Li 0.0000 0.0000 0.0000
! space group	C2/m (12)
! electronic total energy	-6.46	eV per atom
! volume	14.8	Å³/atom



Entry 8:
! PBE LiPRh2, relaxed; values from VASP
&SYSTEM
  ibrav = 0, nat = 4, ntyp = 3
/
ATOMIC_SPECIES
Rh 102.91 Rh.upf
Li 6.94 Li.upf
P 30.97 P.upf
CELL_PARAMETERS angstrom
3.0881 0.0000 0.0000
0.0000 3.0881 0.0000
0.0000 0.0000 5.3318
ATOMIC_POSITIONS crystal
Rh 0.0000 0.0000 0.9552
Rh 0.5000 0.5000 0.3011
Li 0.0000 0.0000 0.4971
P 0.5000 0.5000 0.7466
! space group	P4mm (99)
! electronic total energy	-5.85	eV per atom
! volume	12.7	Å³/atom



The calculation returns the following size of the total moment values, one per record and in order: 0.0000; 0.0002; 0.2512; 0.0000; 0.0000; 0.0000; 0.0000; 0.0000 μB/atom.
The calculation returns the following DOS(E_F) values, one per record and in order: 4.95; 4.47; 4.01; 2.19; 2.40; 3.40; 8.29; 4.23 states/eV/cell.
The calculation returns the following calculated formation energy values, one per record and in order: 0.43; -0.16; -0.18; -0.39; -0.32; -0.60; -0.66; -0.35 eV per atom.